[1]
VASP calculation (PBE) on a relaxed ZrReRu crystal.

Results
The volume is 16.80 A^3/atom. The value obtained for the total magnetization is 0.0 μB per formula unit. For the mass density, the calculation gives 12.47 g/cm³. Its density of states at the Fermi level is 1.310 states/eV per atom. The total energy is -10.06 eV per atom.

abc: 5.312 5.312 5.312
angles: 144.45 144.45 51.16
Atoms (fractional coordinates):
Zr: 0.000 0.000 0.000
Re: 0.671 0.671 0.000
Ru: 0.330 0.330 0.000

***

[2]
VASP calculation (PBE) on a relaxed Pa2NiSeS4 crystal.

Results
The volume is 20.83 A^3/atom. The value obtained for the total magnetization is 0.1 μB per formula unit. The calculation puts the formation energy (no corrections) at -1.222 eV/atom. For the mass density, the calculation gives 7.26 g/cm³. Its density of states at the Fermi level is 0.656 states/eV per atom. The total energy is -6.82 eV per atom.

abc: 5.823 5.823 8.724
angles: 113.22 113.22 38.30
Atoms (fractional coordinates):
Pa: 0.172 0.172 0.251
Pa: 0.828 0.828 0.749
Ni: 0.000 0.000 0.500
Se: 0.500 0.500 0.000
S: 0.165 0.165 0.780
S: 0.383 0.383 0.565
S: 0.617 0.617 0.435
S: 0.835 0.835 0.220

***

[3]
VASP calculation (PBE) on a relaxed LaY2Co2 crystal.

Results
The volume is 23.92 A^3/atom. The value obtained for the total magnetization is 0.0 μB per formula unit. For the mass density, the calculation gives 6.03 g/cm³. Its density of states at the Fermi level is 0.962 states/eV per atom. The total energy is -6.45 eV per atom.

abc: 6.077 6.077 5.679
angles: 104.58 104.58 36.26
Atoms (fractional coordinates):
La: 0.000 0.000 0.000
Y: 0.348 0.348 0.411
Y: 0.652 0.652 0.589
Co: 0.284 0.284 0.896
Co: 0.716 0.716 0.104

***

[4]
VASP calculation (PBE) on a relaxed PmSc2SbO8 crystal.

Results
The volume is 13.47 A^3/atom. The value obtained for the total magnetization is 1.6 μB per formula unit. The calculation puts the formation energy (no corrections) at -2.427 eV/atom. For the mass density, the calculation gives 4.98 g/cm³. Its density of states at the Fermi level is 0.615 states/eV per atom. The total energy is -7.53 eV per atom.

abc: 4.853 6.857 4.858
angles: 90.00 90.27 90.00
Atoms (fractional coordinates):
Pm: 0.000 0.000 0.000
Sc: 0.500 0.260 0.500
Sc: 0.500 0.740 0.500
Sb: 0.000 0.500 0.000
O: 0.196 0.285 0.197
O: 0.196 0.715 0.197
O: 0.296 0.500 0.706
O: 0.332 0.000 0.670
O: 0.668 0.000 0.330
O: 0.704 0.500 0.294
O: 0.804 0.285 0.803
O: 0.804 0.715 0.803

***

[5]
VASP calculation (PBE) on a relaxed TaNi2W crystal.

Results
The volume is 14.07 A^3/atom. The value obtained for the total magnetization is 0.0 μB per formula unit. For the mass density, the calculation gives 14.22 g/cm³. Its density of states at the Fermi level is 0.920 states/eV per atom. The total energy is -9.16 eV per atom.

abc: 3.151 3.151 5.670
angles: 90.00 90.00 90.00
Atoms (fractional coordinates):
Ta: 0.000 0.000 0.000
Ni: 0.000 0.000 0.534
Ni: 0.500 0.500 0.766
W: 0.500 0.500 0.312

***

[6]
VASP calculation (PBE) on a relaxed Cs2BaCu2Cl7 crystal.

Results
The volume is 28.06 A^3/atom. The value obtained for the total magnetization is 0.0 μB per formula unit. The calculation puts the formation energy (no corrections) at -1.503 eV/atom. For the mass density, the calculation gives 3.84 g/cm³. Its density of states at the Fermi level is 0.435 states/eV per atom. The total energy is -3.57 eV per atom.

abc: 13.604 13.604 13.604
angles: 158.54 158.54 30.53
Atoms (fractional coordinates):
Cs: 0.180 0.180 0.000
Cs: 0.820 0.820 0.000
Ba: 0.000 0.000 0.000
Cu: 0.407 0.407 0.000
Cu: 0.593 0.593 0.000
Cl: 0.083 0.583 0.500
Cl: 0.316 0.316 0.000
Cl: 0.417 0.917 0.500
Cl: 0.500 0.500 0.000
Cl: 0.583 0.083 0.500
Cl: 0.684 0.684 0.000
Cl: 0.917 0.417 0.500

***

[7]
VASP calculation (PBE) on a relaxed NdSm3P4 crystal.

Results
The volume is 24.75 A^3/atom. The value obtained for the total magnetization is 0.0 μB per formula unit. For the mass density, the calculation gives 6.03 g/cm³. Its density of states at the Fermi level is 0.079 states/eV per atom. The total energy is -6.64 eV per atom.

abc: 5.829 5.829 5.829
angles: 90.00 90.00 90.00
Atoms (fractional coordinates):
Nd: 0.000 0.000 0.000
Sm: 0.000 0.500 0.500
Sm: 0.500 0.000 0.500
Sm: 0.500 0.500 0.000
P: 0.000 0.000 0.500
P: 0.000 0.500 0.000
P: 0.500 0.000 0.000
P: 0.500 0.500 0.500

***

[8]
VASP calculation (PBE) on a relaxed Mg2BeBi2 crystal.

Results
The volume is 26.67 A^3/atom. The value obtained for the total magnetization is 0.0 μB per formula unit. For the mass density, the calculation gives 5.92 g/cm³. Its density of states at the Fermi level is 0.488 states/eV per atom. The total energy is -2.42 eV per atom.

abc: 8.286 8.286 8.286
angles: 151.01 151.01 41.47
Atoms (fractional coordinates):
Mg: 0.250 0.750 0.500
Mg: 0.750 0.250 0.500
Be: 0.000 0.000 0.000
Bi: 0.397 0.397 0.000
Bi: 0.603 0.603 0.000